# BiB2S6

An optimized crystal structure of BiB2S6 (PBE-GGA, Alexandria).

Space group: C2/c
DFT total energy, eV for the cell shown: -87.2
Calculated volume, Å³/cell: 459
Formation energy (no corrections), eV per atom: -0.1768

```
BiB2S6
1.0
7.2641 -5.5744 0.0000
7.2641 5.5744 0.0000
-1.2752 0.0000 5.6621
Bi B S
2 4 12
direct
0.1090 0.8910 0.7500
0.8910 0.1090 0.2500
0.1721 0.2971 0.7720
0.2971 0.1721 0.2720
0.7029 0.8279 0.7280
0.8279 0.7029 0.2280
0.0170 0.1840 0.7225
0.0688 0.5066 0.8846
0.1840 0.0170 0.2225
0.2334 0.3448 0.4995
0.3448 0.2334 0.9995
0.4934 0.9312 0.6154
0.5066 0.0688 0.3846
0.6552 0.7666 0.0005
0.7666 0.6552 0.5005
0.8160 0.9830 0.7775
0.9312 0.4934 0.1154
0.9830 0.8160 0.2775
```